# 1
{"formula": "K2Re3CS5N", "functional": "PBEsol", "state": "optimized geometry", "space_group": "Pmna (53)", "formation_energy_uncorrected_ev_per_atom": -0.679, "cell": [[11.285, 0.000, 0.000], [0.000, 9.201, 0.000], [0.000, 0.000, 10.151]], "species": ["K", "K", "K", "K", "K", "K", "K", "K", "Re", "Re", "Re", "Re", "Re", "Re", "Re", "Re", "Re", "Re", "Re", "Re", "C", "C", "C", "C", "S", "S", "S", "S", "S", "S", "S", "S", "S", "S", "S", "S", "S", "S", "S", "S", "S", "S", "S", "S", "N", "N", "N", "N"], "frac_coords": [[0.000, 0.222, 0.073], [0.000, 0.778, 0.927], [0.250, 0.048, 0.750], [0.250, 0.952, 0.250], [0.500, 0.222, 0.427], [0.500, 0.778, 0.573], [0.750, 0.048, 0.750], [0.750, 0.952, 0.250], [0.000, 0.336, 0.605], [0.000, 0.664, 0.395], [0.115, 0.417, 0.393], [0.115, 0.583, 0.607], [0.385, 0.417, 0.107], [0.385, 0.583, 0.893], [0.500, 0.336, 0.895], [0.500, 0.664, 0.105], [0.615, 0.417, 0.107], [0.615, 0.583, 0.893], [0.885, 0.417, 0.393], [0.885, 0.583, 0.607], [0.000, 0.166, 0.740], [0.000, 0.834, 0.260], [0.500, 0.166, 0.760], [0.500, 0.834, 0.240], [0.000, 0.196, 0.407], [0.000, 0.493, 0.791], [0.000, 0.507, 0.209], [0.000, 0.804, 0.593], [0.214, 0.351, 0.594], [0.214, 0.649, 0.406], [0.250, 0.286, 0.250], [0.250, 0.714, 0.750], [0.286, 0.351, 0.906], [0.286, 0.649, 0.094], [0.500, 0.196, 0.093], [0.500, 0.493, 0.709], [0.500, 0.507, 0.291], [0.500, 0.804, 0.907], [0.714, 0.351, 0.906], [0.714, 0.649, 0.094], [0.750, 0.286, 0.250], [0.750, 0.714, 0.750], [0.786, 0.351, 0.594], [0.786, 0.649, 0.406], [0.000, 0.077, 0.824], [0.000, 0.923, 0.176], [0.500, 0.077, 0.676], [0.500, 0.923, 0.324]]}

=====

# 2
{"formula": "KTcCN2", "functional": "PBEsol", "state": "optimized geometry", "space_group": "P4/mmm (123)", "formation_energy_uncorrected_ev_per_atom": 3.851, "cell": [[4.000, 0.000, 0.000], [0.000, 4.000, 0.000], [0.000, 0.000, 4.089]], "species": ["K", "Tc", "C", "N", "N"], "frac_coords": [[0.000, 0.000, 0.000], [0.500, 0.500, 0.500], [0.000, 0.000, 0.500], [0.000, 0.500, 0.000], [0.500, 0.000, 0.000]]}

=====

# 3
{"formula": "KNaNb2C", "functional": "PBEsol", "state": "optimized geometry", "space_group": "P4/mmm (123)", "e_form_ev_per_atom": 0.80, "cell": [[4.280, 0.000, 0.000], [0.000, 4.280, 0.000], [0.000, 0.000, 5.913]], "species": ["K", "Na", "Nb", "Nb", "C"], "frac_coords": [[0.000, 0.000, 0.000], [0.500, 0.500, 0.000], [0.000, 0.500, 0.500], [0.500, 0.000, 0.500], [0.000, 0.000, 0.500]]}

=====

# 4
{"formula": "KNdC2O6", "functional": "PBEsol", "state": "optimized geometry", "space_group": "Pmn2_1 (31)", "formation_energy_uncorrected_ev_per_atom": -2.150, "cell": [[9.718, 0.000, 0.000], [0.000, 6.471, 0.000], [0.000, 0.000, 8.493]], "species": ["K", "K", "K", "K", "Nd", "Nd", "Nd", "Nd", "C", "C", "C", "C", "C", "C", "C", "C", "O", "O", "O", "O", "O", "O", "O", "O", "O", "O", "O", "O", "O", "O", "O", "O", "O", "O", "O", "O", "O", "O", "O", "O"], "frac_coords": [[0.236, 0.049, 0.000], [0.264, 0.951, 0.500], [0.736, 0.951, 0.500], [0.764, 0.049, 0.000], [0.000, 0.467, 0.769], [0.000, 0.532, 0.267], [0.500, 0.468, 0.767], [0.500, 0.533, 0.269], [0.000, 0.909, 0.771], [0.000, 0.975, 0.257], [0.249, 0.538, 0.077], [0.251, 0.462, 0.577], [0.500, 0.025, 0.757], [0.500, 0.091, 0.271], [0.749, 0.462, 0.577], [0.751, 0.538, 0.077], [0.000, 0.107, 0.789], [0.000, 0.173, 0.253], [0.000, 0.867, 0.128], [0.000, 0.876, 0.391], [0.115, 0.807, 0.763], [0.132, 0.472, 0.510], [0.137, 0.466, 0.017], [0.245, 0.617, 0.218], [0.255, 0.383, 0.718], [0.363, 0.534, 0.517], [0.368, 0.528, 0.010], [0.385, 0.193, 0.263], [0.500, 0.124, 0.891], [0.500, 0.133, 0.628], [0.500, 0.827, 0.753], [0.500, 0.893, 0.289], [0.615, 0.193, 0.263], [0.632, 0.528, 0.010], [0.637, 0.534, 0.517], [0.745, 0.383, 0.718], [0.755, 0.617, 0.218], [0.863, 0.466, 0.017], [0.868, 0.472, 0.510], [0.885, 0.807, 0.763]]}

=====

# 5
{"formula": "K2NiPCO7", "functional": "PBEsol", "state": "optimized geometry", "space_group": "P2_1/m (11)", "formation_energy_uncorrected_ev_per_atom": -1.695, "cell": [[5.260, 0.000, 0.000], [0.000, 6.944, 0.000], [-0.325, 0.000, 9.376]], "species": ["K", "K", "K", "K", "Ni", "Ni", "P", "P", "C", "C", "O", "O", "O", "O", "O", "O", "O", "O", "O", "O", "O", "O", "O", "O"], "frac_coords": [[0.246, 0.031, 0.252], [0.246, 0.469, 0.252], [0.754, 0.531, 0.748], [0.754, 0.969, 0.748], [0.282, 0.250, 0.642], [0.718, 0.750, 0.358], [0.221, 0.750, 0.571], [0.779, 0.250, 0.429], [0.235, 0.250, 0.889], [0.765, 0.750, 0.111], [0.049, 0.250, 0.792], [0.070, 0.250, 0.477], [0.207, 0.250, 0.019], [0.272, 0.569, 0.664], [0.272, 0.931, 0.664], [0.384, 0.750, 0.436], [0.452, 0.250, 0.825], [0.548, 0.750, 0.175], [0.616, 0.250, 0.564], [0.728, 0.069, 0.336], [0.728, 0.431, 0.336], [0.793, 0.750, 0.981], [0.930, 0.750, 0.523], [0.951, 0.750, 0.208]]}

=====

# 6
{"formula": "KCO2", "functional": "PBEsol", "state": "optimized geometry", "space_group": "Pbam (55)", "formation_energy_uncorrected_ev_per_atom": -1.561, "cell": [[6.112, 0.000, 0.000], [0.000, 10.891, 0.000], [0.000, 0.000, 3.401]], "species": ["K", "K", "K", "K", "C", "C", "C", "C", "O", "O", "O", "O", "O", "O", "O", "O"], "frac_coords": [[0.098, 0.150, 0.000], [0.402, 0.650, 0.000], [0.598, 0.350, 0.000], [0.902, 0.850, 0.000], [0.070, 0.439, 0.500], [0.430, 0.939, 0.500], [0.570, 0.061, 0.500], [0.930, 0.561, 0.500], [0.034, 0.661, 0.500], [0.224, 0.952, 0.500], [0.276, 0.452, 0.500], [0.466, 0.161, 0.500], [0.534, 0.839, 0.500], [0.724, 0.548, 0.500], [0.776, 0.048, 0.500], [0.966, 0.339, 0.500]]}

=====

# 7
{"formula": "K2CO3", "functional": "PBEsol", "state": "optimized geometry", "space_group": "P6_3/mmc (194)", "formation_energy_uncorrected_ev_per_atom": -1.774, "cell": [[5.694, 0.000, 0.000], [-2.847, 4.931, 0.000], [0.000, 0.000, 6.972]], "species": ["K", "K", "K", "K", "C", "C", "O", "O", "O", "O", "O", "O"], "frac_coords": [[0.000, 0.000, 0.000], [0.000, 0.000, 0.500], [0.333, 0.667, 0.250], [0.667, 0.333, 0.750], [0.333, 0.667, 0.750], [0.667, 0.333, 0.250], [0.202, 0.403, 0.750], [0.202, 0.798, 0.750], [0.403, 0.202, 0.250], [0.597, 0.798, 0.750], [0.798, 0.202, 0.250], [0.798, 0.597, 0.250]]}

=====

# 8
{"formula": "K2CO3", "functional": "PBEsol", "state": "optimized geometry", "space_group": "P2_1/c (14)", "formation_energy_uncorrected_ev_per_atom": -1.785, "cell": [[5.627, 0.000, 0.000], [0.000, 9.694, 0.000], [-1.022, 0.000, 6.880]], "species": ["K", "K", "K", "K", "K", "K", "K", "K", "C", "C", "C", "C", "O", "O", "O", "O", "O", "O", "O", "O", "O", "O", "O", "O"], "frac_coords": [[0.239, 0.232, 0.472], [0.239, 0.268, 0.972], [0.260, 0.582, 0.306], [0.260, 0.918, 0.806], [0.740, 0.082, 0.194], [0.740, 0.418, 0.694], [0.761, 0.732, 0.028], [0.761, 0.768, 0.528], [0.250, 0.584, 0.744], [0.250, 0.916, 0.244], [0.750, 0.084, 0.756], [0.750, 0.416, 0.256], [0.075, 0.640, 0.819], [0.075, 0.860, 0.319], [0.235, 0.045, 0.188], [0.235, 0.455, 0.688], [0.439, 0.655, 0.722], [0.439, 0.845, 0.222], [0.561, 0.155, 0.778], [0.561, 0.345, 0.278], [0.765, 0.545, 0.312], [0.765, 0.955, 0.812], [0.925, 0.140, 0.681], [0.925, 0.360, 0.181]]}